No. 1
The following is a DFT calculation (GGA-PBE) of an optimized crystal structure of TbPrCu.

The space group is P-1 (No. 2) and the conventional cell measures 3.5510, 6.7857 and 7.1677 Å, with angles of 105.82, 90.05 and 105.16 degrees. Symmetry generates all atoms from Tb at (0.1371, 0.2737, 0.0662), Pr at (0.1413, 0.2822, 0.5715) and Cu at (0.4937, 0.9899, 0.7749).

The calculation puts the uncorrected energy at -4.60 eV/atom. The energy above the lowest structure with this stoichiometry is 12 meV per atom. The value obtained for the calculated density is 7.55 g/cm³. As for the energy relative to the elements: -0.097 eV per atom.

No. 2
The following is a DFT calculation (GGA-PBE) of an optimized crystal structure of TbPrCu2.

The space group is Fm-3m (No. 225) and the conventional cell measures 7.1127, 7.1127 and 7.1127 Å, with angles of 90.00, 90.00 and 90.00 degrees. Symmetry generates all atoms from Tb at (0.0000, 0.0000, 0.0000), Pr at (0.0000, 0.0000, 0.5000) and Cu at (0.2500, 0.2500, 0.2500).

The calculation puts the uncorrected energy at -4.56 eV/atom. The energy above the lowest structure with this stoichiometry is 32 meV per atom. The value obtained for the calculated density is 7.88 g/cm³. As for the energy relative to the elements: -0.163 eV per atom.

No. 3
The following is a DFT calculation (GGA-PBE) of an optimized crystal structure of Tb2PrCu3.

The space group is P4/mmm (No. 123) and the conventional cell measures 3.5128, 3.5128 and 10.6636 Å, with angles of 90.00, 90.00 and 90.00 degrees. Symmetry generates all atoms from Tb at (0.0000, 0.0000, 0.1624), Pr at (0.0000, 0.0000, 0.5000), Cu at (0.5000, 0.5000, 0.0000) and Cu at (0.5000, 0.5000, 0.3177).

The calculation puts the uncorrected energy at -4.59 eV/atom. The value obtained for the calculated density is 8.19 g/cm³. As for the energy relative to the elements: -0.203 eV per atom.

No. 4
The following is a DFT calculation (GGA-PBE) of an optimized crystal structure of TbPrCu4.

The space group is Imm2 (No. 44) and the conventional cell measures 4.3299, 7.0523 and 7.4353 Å, with angles of 90.00, 90.00 and 90.00 degrees. Symmetry generates all atoms from Tb at (0.0000, 0.0000, 0.0000), Pr at (0.0000, 0.5000, 0.9226), Cu at (0.0000, 0.2052, 0.6297) and Cu at (0.0000, 0.3034, 0.3000).

The calculation puts the uncorrected energy at -4.52 eV/atom. The energy above the lowest structure with this stoichiometry is 0 meV per atom. The value obtained for the calculated density is 8.10 g/cm³. As for the energy relative to the elements: -0.226 eV per atom.

No. 5
The following is a DFT calculation (GGA-PBE) of an optimized crystal structure of Tb4PrCu5.

The space group is P4/mmm (No. 123) and the conventional cell measures 3.4904, 3.4904 and 17.7512 Å, with angles of 90.00, 90.00 and 90.00 degrees. Symmetry generates all atoms from Tb at (0.0000, 0.0000, 0.0987), Tb at (0.0000, 0.0000, 0.2955), Pr at (0.0000, 0.0000, 0.5000), Cu at (0.5000, 0.5000, 0.0000), Cu at (0.5000, 0.5000, 0.1978) and Cu at (0.5000, 0.5000, 0.3892).

The calculation puts the uncorrected energy at -4.60 eV/atom. The value obtained for the calculated density is 8.40 g/cm³. As for the energy relative to the elements: -0.217 eV per atom.

No. 6
The following is a DFT calculation (GGA-PBE) of an optimized crystal structure of TbPr2Cu3.

The space group is P4/mmm (No. 123) and the conventional cell measures 3.5588, 3.5588 and 10.8132 Å, with angles of 90.00, 90.00 and 90.00 degrees. Symmetry generates all atoms from Tb at (0.0000, 0.0000, 0.0000), Pr at (0.0000, 0.0000, 0.3291), Cu at (0.5000, 0.5000, 0.1516) and Cu at (0.5000, 0.5000, 0.5000).

The calculation puts the uncorrected energy at -4.57 eV/atom. The energy above the lowest structure with this stoichiometry is 0 meV per atom. The value obtained for the calculated density is 7.66 g/cm³. As for the energy relative to the elements: -0.161 eV per atom.

No. 7
The following is a DFT calculation (GGA-PBE) of an optimized crystal structure of TbPr4Cu5.

The space group is P4/mmm (No. 123) and the conventional cell measures 3.5727, 3.5727 and 18.1478 Å, with angles of 90.00, 90.00 and 90.00 degrees. Symmetry generates all atoms from Tb at (0.0000, 0.0000, 0.0000), Pr at (0.0000, 0.0000, 0.1957), Pr at (0.0000, 0.0000, 0.3988), Cu at (0.5000, 0.5000, 0.0897), Cu at (0.5000, 0.5000, 0.2982) and Cu at (0.5000, 0.5000, 0.5000).

The calculation puts the uncorrected energy at -4.57 eV/atom. The value obtained for the calculated density is 7.46 g/cm³. As for the energy relative to the elements: -0.142 eV per atom.

No. 8
The following is a DFT calculation (GGA-PBE) of an optimized crystal structure of Tb2PrCu2.

The space group is P2_1/m (No. 11) and the conventional cell measures 5.0068, 4.6949 and 10.8642 Å, with angles of 90.00, 96.72 and 90.00 degrees. Symmetry generates all atoms from Tb at (0.1553, 0.2500, 0.1146), Tb at (0.2509, 0.7500, 0.5058), Pr at (0.3071, 0.2500, 0.7559), Cu at (0.2167, 0.2500, 0.3667) and Cu at (0.3758, 0.7500, 0.9954).

The calculation puts the uncorrected energy at -4.56 eV/atom. The value obtained for the calculated density is 7.67 g/cm³. As for the energy relative to the elements: -0.109 eV per atom.

No. 9
The following is a DFT calculation (GGA-PBE) of an optimized crystal structure of TbPrCu4.

The space group is F-43m (No. 216) and the conventional cell measures 7.5417, 7.5417 and 7.5417 Å, with angles of 90.00, 90.00 and 90.00 degrees. Symmetry generates all atoms from Tb at (0.0000, 0.0000, 0.0000), Pr at (0.2500, 0.2500, 0.2500) and Cu at (0.1259, 0.1259, 0.6259).

The calculation puts the uncorrected energy at -4.40 eV/atom. The energy above the lowest structure with this stoichiometry is 121 meV per atom. The value obtained for the calculated density is 8.58 g/cm³. As for the energy relative to the elements: -0.105 eV per atom.

No. 10
The following is a DFT calculation (GGA-PBE) of an optimized crystal structure of TbPrCu2.

The space group is P4/mmm (No. 123) and the conventional cell measures 3.5396, 3.5396 and 7.1403 Å, with angles of 90.00, 90.00 and 90.00 degrees. Symmetry generates all atoms from Tb at (0.0000, 0.0000, 0.0000), Pr at (0.0000, 0.0000, 0.5000) and Cu at (0.5000, 0.5000, 0.2260).

The calculation puts the uncorrected energy at -4.58 eV/atom. The energy above the lowest structure with this stoichiometry is 12 meV per atom. The value obtained for the calculated density is 7.92 g/cm³. As for the energy relative to the elements: -0.183 eV per atom.

No. 11
The following is a DFT calculation (GGA-PBE) of an optimized crystal structure of TbPrCu.

The space group is F-43m (No. 216) and the conventional cell measures 6.9980, 6.9980 and 6.9980 Å, with angles of 90.00, 90.00 and 90.00 degrees. Symmetry generates all atoms from Tb at (0.0000, 0.0000, 0.0000), Pr at (0.0000, 0.0000, 0.5000) and Cu at (0.2500, 0.2500, 0.7500).

The calculation puts the uncorrected energy at -4.40 eV/atom. The energy above the lowest structure with this stoichiometry is 213 meV per atom. The value obtained for the calculated density is 7.04 g/cm³. As for the energy relative to the elements: 0.104 eV per atom.

No. 12
The following is a DFT calculation (GGA-PBE) of an optimized crystal structure of TbPrCu2.

The space group is Pm (No. 6) and the conventional cell measures 3.8727, 4.5194 and 5.5925 Å, with angles of 90.00, 109.45 and 90.00 degrees. Symmetry generates all atoms from Tb at (0.0000, 0.0000, 0.0000), Pr at (0.2813, 0.5000, 0.5656), Cu at (0.5725, 0.5000, 0.1400) and Cu at (0.7009, 0.0000, 0.4089).

The calculation puts the uncorrected energy at -4.60 eV/atom. The energy above the lowest structure with this stoichiometry is 0 meV per atom. The value obtained for the calculated density is 7.68 g/cm³. As for the energy relative to the elements: -0.195 eV per atom.

No. 13
The following is a DFT calculation (GGA-PBE) of an optimized crystal structure of TbPr5Cu6.

The space group is C2/m (No. 12) and the conventional cell measures 16.1249, 7.1522 and 5.1058 Å, with angles of 90.00, 108.28 and 90.00 degrees. Symmetry generates all atoms from Tb at (0.0000, 0.0000, 0.0000), Pr at (0.0000, 0.5000, 0.0000), Pr at (0.1653, 0.5000, 0.6654), Pr at (0.1681, 0.0000, 0.6679), Cu at (0.0000, 0.2311, 0.5000) and Cu at (0.1616, 0.2405, 0.1612).

The calculation puts the uncorrected energy at -4.56 eV/atom. The value obtained for the calculated density is 7.39 g/cm³. As for the energy relative to the elements: -0.136 eV per atom.

No. 14
The following is a DFT calculation (GGA-PBE) of an optimized crystal structure of TbPr2Cu2.

The space group is C2/m (No. 12) and the conventional cell measures 12.0040, 4.6788 and 10.5881 Å, with angles of 90.00, 121.24 and 90.00 degrees. Symmetry generates all atoms from Tb at (0.1976, 0.0000, 0.3538), Pr at (0.0350, 0.5000, 0.6914), Pr at (0.1803, 0.5000, 0.0895), Cu at (0.0438, 0.0000, 0.9116) and Cu at (0.1236, 0.0000, 0.5669).

The calculation puts the uncorrected energy at -4.57 eV/atom. The value obtained for the calculated density is 7.42 g/cm³. As for the energy relative to the elements: -0.095 eV per atom.

No. 15
The following is a DFT calculation (GGA-PBE) of an optimized crystal structure of TbPr2CuTe5.

The space group is Cmc2_1 (No. 36) and the conventional cell measures 4.3370, 19.1730 and 13.0707 Å, with angles of 90.00, 90.00 and 90.00 degrees. Symmetry generates all atoms from Tb at (0.0000, 0.1910, 0.0000), Pr at (0.0000, 0.1090, 0.6764), Pr at (0.0000, 0.1239, 0.2974), Cu at (0.0000, 0.4287, 0.4485), Te at (0.0000, 0.0418, 0.0536), Te at (0.0000, 0.2861, 0.6631), Te at (0.0000, 0.3126, 0.3334), Te at (0.0000, 0.3549, 0.9899) and Te at (0.0000, 0.4997, 0.2771).

The calculation puts the uncorrected energy at -4.99 eV/atom. For the formation energy (no corrections), the calculation gives -1.22 eV per atom. The value obtained for the calculated density is 6.98 g/cm³.

No. 16
The following is a DFT calculation (GGA-PBE) of an optimized crystal structure of TbPrTlCu.

The space group is F-43m (No. 216) and the conventional cell measures 7.4906, 7.4906 and 7.4906 Å, with angles of 90.00, 90.00 and 90.00 degrees. Symmetry generates all atoms from Tb at (0.0000, 0.0000, 0.0000), Pr at (0.0000, 0.0000, 0.5000), Tl at (0.2500, 0.2500, 0.2500) and Cu at (0.2500, 0.2500, 0.7500).

The calculation puts the uncorrected energy at -4.18 eV/atom. The value obtained for the calculated density is 8.97 g/cm³. As for the energy relative to the elements: -0.213 eV per atom.

No. 17
The following is a DFT calculation (GGA-PBE) of an optimized crystal structure of PrThCuTc.

The space group is F-43m (No. 216) and the conventional cell measures 7.1528, 7.1528 and 7.1528 Å, with angles of 90.00, 90.00 and 90.00 degrees. Symmetry generates all atoms from Pr at (0.0000, 0.0000, 0.0000), Th at (0.0000, 0.0000, 0.5000), Cu at (0.2500, 0.2500, 0.2500) and Tc at (0.2500, 0.2500, 0.7500).

The calculation puts the uncorrected energy at -6.67 eV/atom. The value obtained for the calculated density is 9.70 g/cm³. As for the energy relative to the elements: -0.007 eV per atom.

No. 18
The following is a DFT calculation (GGA-PBE) of an optimized crystal structure of PrYCuTc.

The space group is F-43m (No. 216) and the conventional cell measures 7.0408, 7.0408 and 7.0408 Å, with angles of 90.00, 90.00 and 90.00 degrees. Symmetry generates all atoms from Pr at (0.0000, 0.0000, 0.0000), Y at (0.0000, 0.0000, 0.5000), Cu at (0.2500, 0.2500, 0.7500) and Tc at (0.2500, 0.2500, 0.2500).

The calculation puts the uncorrected energy at -6.40 eV/atom. The value obtained for the calculated density is 7.45 g/cm³. As for the energy relative to the elements: 0.026 eV per atom.

No. 19
The following is a DFT calculation (GGA-PBE) of an optimized crystal structure of Pr2CuTe4.

The space group is P2_1/m (No. 11) and the conventional cell measures 7.7487, 6.3344 and 8.8801 Å, with angles of 90.00, 106.66 and 90.00 degrees. Symmetry generates all atoms from Pr at (0.2249, 0.2500, 0.4328), Pr at (0.2473, 0.2500, 0.9354), Cu at (0.2232, 0.7500, 0.6800), Te at (0.0787, 0.7500, 0.3830), Te at (0.0807, 0.7500, 0.9057) and Te at (0.4935, 0.5039, 0.2517).

The calculation puts the uncorrected energy at -4.81 eV/atom. For the formation energy (no corrections), the calculation gives -1.06 eV per atom. The value obtained for the calculated density is 6.81 g/cm³.

No. 20
The following is a DFT calculation (GGA-PBE) of an optimized crystal structure of PrCuTe2.

The space group is R-3m (No. 166, hexagonal axes) and the conventional cell measures 4.7365, 4.7365 and 24.7392 Å, with angles of 90.00, 90.00 and 120.00 degrees. Symmetry generates all atoms from Pr at (0.0000, 0.0000, 0.0000), Cu at (0.0000, 0.0000, 0.5000) and Te at (0.0000, 0.0000, 0.4015).

The calculation puts the uncorrected energy at -4.54 eV/atom. For the formation energy (no corrections), the calculation gives -0.75 eV per atom. The value obtained for the calculated density is 4.76 g/cm³.

No. 21
The following is a DFT calculation (GGA-PBE) of an optimized crystal structure of Pr3Cu5Te12.

The space group is Ia-3d (No. 230) and the conventional cell measures 16.8521, 16.8521 and 16.8521 Å, with angles of 90.00, 90.00 and 90.00 degrees. Symmetry generates all atoms from Pr at (0.0000, 0.2500, 0.1250), Cu at (0.0000, 0.0000, 0.0000), Cu at (0.0000, 0.2500, 0.3750) and Te at (0.0291, 0.0577, 0.6471).

The calculation puts the uncorrected energy at -4.07 eV/atom. For the formation energy (no corrections), the calculation gives -0.44 eV per atom. The value obtained for the calculated density is 6.31 g/cm³.